Compound: BaTi2Cr
Source: Alexandria
Functional: PBE
Structure: relaxed

Summary:
E above lowest polymorph: 0.0000 eV/atom

Cell lengths 6.9789, 6.9789, 9.8606 Å; angles 90.00, 90.00, 90.00 degrees
With the nearest neighbours (Å) after each atom.
Space group I4_1/amd (No. 141, origin choice 2)
One atom of each set of equivalent atoms:
Ba 0.0000 0.2500 0.3750 x4  12 Ti 4.09, 4 Ba 4.27, 4 Cr 4.27
Ti 0.0000 0.0000 0.0000 x8  2 Cr 2.14
Cr 0.0000 0.2500 0.8750 x4  4 Ti 2.14

Compound: BaTi3Cr
Source: Alexandria
Functional: PBE
Structure: relaxed

Summary:
E above lowest polymorph: 1.7188 eV/atom

Cell lengths 4.9005, 4.9005, 4.9005 Å; angles 90.00, 90.00, 90.00 degrees
With the nearest neighbours (Å) after each atom.
Space group Pm-3m (No. 221)
One atom of each set of equivalent atoms:
Ba 0.0000 0.0000 0.0000 x1  6 Ti 2.45
Ti 0.0000 0.0000 0.5000 x3  2 Ba 2.45
Cr 0.5000 0.5000 0.5000 x1  12 Ti 3.47

Compound: BaTi2CrW
Source: Alexandria
Functional: PBE
Structure: relaxed

Cell lengths 4.8337, 4.8337, 5.0261 Å; angles 90.00, 90.00, 90.00 degrees
With the nearest neighbours (Å) after each atom.
Space group P4/mmm (No. 123)
One atom of each set of equivalent atoms:
Ba 0.0000 0.0000 0.0000 x1  4 Ti 2.42, 2 W 2.51
Ti 0.0000 0.5000 0.0000 x2  2 Ba 2.42
Cr 0.5000 0.5000 0.5000 x1  4 W 3.42, 8 Ti 3.49
W 0.0000 0.0000 0.5000 x1  2 Ba 2.51

Compound: BaTiCr2W
Source: Alexandria
Functional: PBE
Structure: relaxed

Cell lengths 4.3529, 4.3529, 5.3701 Å; angles 90.00, 90.00, 90.00 degrees
With the nearest neighbours (Å) after each atom.
Space group P4/mmm (No. 123)
One atom of each set of equivalent atoms:
Ba 0.0000 0.0000 0.0000 x1  2 Ti 2.69
Ti 0.0000 0.0000 0.5000 x1  4 Cr 2.18
Cr 0.0000 0.5000 0.5000 x2  2 Ti 2.18
W 0.5000 0.5000 0.0000 x1  4 Ba 3.08

Compound: Ba2ZrTiCr
Source: Alexandria
Functional: PBE
Structure: relaxed

Cell lengths 6.3984, 6.3984, 4.7893 Å; angles 90.00, 90.00, 90.00 degrees
With the nearest neighbours (Å) after each atom.
Space group P4/mmm (No. 123)
One atom of each set of equivalent atoms:
Ba 0.0000 0.5000 0.0000 x2  2 Zr 3.20
Zr 0.0000 0.0000 0.0000 x1  2 Ti 2.39
Ti 0.0000 0.0000 0.5000 x1  2 Zr 2.39
Cr 0.5000 0.5000 0.5000 x1  8 Ba 4.00

Compound: BaZrTiCr2
Source: Alexandria
Functional: PBE
Structure: relaxed

Cell lengths 4.6731, 4.6731, 5.6632 Å; angles 90.00, 90.00, 90.00 degrees
With the nearest neighbours (Å) after each atom.
Space group P4/mmm (No. 123)
One atom of each set of equivalent atoms:
Ba 0.0000 0.0000 0.0000 x1  2 Zr 2.83
Zr 0.0000 0.0000 0.5000 x1  4 Cr 2.34
Ti 0.5000 0.5000 0.0000 x1  4 Ba 3.30, 8 Cr 3.67
Cr 0.0000 0.5000 0.5000 x2  2 Zr 2.34

Compound: BaTl2Cr
Source: Alexandria
Functional: PBE
Structure: relaxed

Cell lengths 7.8713, 7.8713, 7.8713 Å; angles 90.00, 90.00, 90.00 degrees
With the nearest neighbours (Å) after each atom.
Space group F-43m (No. 216)
One atom of each set of equivalent atoms:
Ba 0.0000 0.0000 0.0000 x4  4 Cr 3.41, 4 Tl 3.41
Tl 0.0000 0.0000 0.5000 x4  4 Cr 3.41, 4 Tl 3.41
Tl 0.2500 0.2500 0.2500 x4  4 Ba 3.41, 4 Tl 3.41
Cr 0.2500 0.2500 0.7500 x4  4 Ba 3.41, 4 Tl 3.41

Compound: BaTl2Cr2
Source: Alexandria
Functional: PBE
Structure: relaxed

Summary:
E above lowest polymorph: 0.0000 eV/atom

Cell lengths 5.0036, 5.0036, 10.1438 Å; angles 90.00, 90.00, 90.00 degrees
With the nearest neighbours (Å) after each atom.
Space group I4/mmm (No. 139)
One atom of each set of equivalent atoms:
Ba 0.0000 0.0000 0.0000 x2  8 Tl 3.56, 8 Cr 3.65
Tl 0.0000 0.5000 0.2500 x4  4 Cr 3.00
Cr 0.0000 0.0000 0.4125 x4  1 Cr 1.78

Compound: BaTl2Cr
Source: Alexandria
Functional: PBE
Structure: relaxed

Cell lengths 3.9547, 3.9547, 7.9570 Å; angles 90.00, 90.00, 90.00 degrees
With the nearest neighbours (Å) after each atom.
Space group P4mm (No. 99)
One atom of each set of equivalent atoms:
Ba 0.0000 0.0000 0.0000 x1  5 Tl 3.65-3.69, 4 Cr 3.74, 4 Ba 3.95
Tl 0.0000 0.0000 0.4587 x1  4 Cr 3.03, 4 Tl 3.38
Tl 0.5000 0.5000 0.6975 x1  1 Cr 3.06, 4 Tl 3.38
Cr 0.5000 0.5000 0.3128 x1  5 Tl 3.03-3.06

Compound: BaTl2Cr
Source: Alexandria
Functional: PBE
Structure: relaxed

Cell lengths 4.9011, 4.9011, 18.3737 Å; angles 90.00, 90.00, 120.00 degrees
With the nearest neighbours (Å) after each atom.
Space group R-3m (No. 166, hexagonal axes)
One atom of each set of equivalent atoms:
Ba 0.0000 0.0000 0.0000 x3  8 Tl 3.60-3.89
Tl 0.0000 0.0000 0.2120 x6  3 Cr 2.95, 3 Tl 3.28
Cr 0.0000 0.0000 0.5000 x3  6 Tl 2.95

Compound: Ba2TlCr
Source: Alexandria
Functional: PBE
Structure: relaxed

Summary:
E above lowest polymorph: 0.0655 eV/atom

Cell lengths 5.7358, 5.7358, 8.0859 Å; angles 90.00, 90.00, 90.00 degrees
With the nearest neighbours (Å) after each atom.
Space group I-4m2 (No. 119)
One atom of each set of equivalent atoms:
Ba 0.0000 0.0000 0.0000 x2  4 Ba 3.51, 4 Tl 3.51
Ba 0.0000 0.5000 0.2500 x2  4 Cr 3.51, 4 Ba 3.51
Tl 0.0000 0.5000 0.7500 x2  4 Ba 3.51, 4 Cr 3.51
Cr 0.0000 0.0000 0.5000 x2  4 Ba 3.51, 4 Tl 3.51

Compound: BaTl2Cr
Source: Alexandria
Functional: PBE
Structure: relaxed

Cell lengths 3.7873, 3.7873, 8.0352 Å; angles 90.00, 90.00, 90.00 degrees
With the nearest neighbours (Å) after each atom.
Space group P4/mmm (No. 123)
One atom of each set of equivalent atoms:
Ba 0.0000 0.0000 0.0000 x1  8 Tl 3.63, 4 Ba 3.79, 2 Cr 4.02
Tl 0.5000 0.5000 0.3056 x2  4 Cr 3.10, 1 Tl 3.12
Cr 0.0000 0.0000 0.5000 x1  8 Tl 3.10

In order of appearance, final energy = -5.91 -4.71 -5.15 -6.13 -4.78 -5.51 -3.82 -4.73 -3.80 -3.98 -3.71 -3.94 eV per atom.
In order of appearance, calculated formation energy = 0.92 2.34 2.91 2.27 1.21 2.02 0.25 0.45 0.27 0.09 0.25 0.13 eV/atom.